1.
A plane-wave DFT calculation with PBE was carried out for a relaxed structure of ZnReP2.

ΔH_f (0 K): 0.231 eV per atom

Structure (POSCAR):
```
ZnReP2
1.0
3.0226 0.0000 0.0000
-1.5113 2.6177 0.0000
0.0000 0.0000 22.1210
Zn Re P
3 3 6
Cartesian
0.0000 0.0000 0.0000
0.0000 1.7451 14.7474
1.5113 0.8726 7.3737
0.0000 0.0000 5.2422
0.0000 1.7451 19.9896
1.5113 0.8726 12.6159
0.0000 0.0000 10.9891
0.0000 0.0000 16.6745
0.0000 1.7451 3.6155
0.0000 1.7451 9.3008
1.5113 0.8726 1.9271
1.5113 0.8726 18.3628
```

2.
A plane-wave DFT calculation with PBE was carried out for a relaxed structure of Cr2TeH2.

E: -5.5698 eV per atom

Structure (POSCAR):
```
Cr2TeH2
1.0
3.1250 0.0000 0.0000
0.0000 3.1250 0.0000
0.0000 0.0000 10.3770
Cr Te H
4 2 4
Cartesian
0.0000 0.0000 1.6832
0.0000 0.0000 8.6938
1.5625 1.5625 3.5053
1.5625 1.5625 6.8717
0.0000 0.0000 5.1885
1.5625 1.5625 0.0000
0.0000 1.5625 2.5942
0.0000 1.5625 7.7827
1.5625 0.0000 2.5942
1.5625 0.0000 7.7827
```